# CsGa2ReW

A geometry-optimized CsGa2ReW structure (PBE, the Alexandria database).

Structure (POSCAR):
```
CsGa2ReW
1.0
5.502 0.000 0.000
0.000 5.502 0.000
0.000 0.000 5.307
Cs Ga Re W
1 2 1 1
Cartesian
0.000 0.000 0.000 Cs
0.000 2.751 0.000 Ga
2.751 0.000 0.000 Ga
2.751 2.751 2.654 Re
0.000 0.000 2.654 W
```

Values from the calculation:
Its spin magnetization is 1.279 μB per atom. The calculated density is 6.64 g cm⁻³. Its total energy is -15.3 eV/cell. As for the density of states at the Fermi level: 0.959 states/eV/atom.